Entry 1:
{"formula": "Ta3Te14Pd3", "functional": "PBEsol", "state": "relaxed", "spacegroup": "P2_1/m", "raw_formation_energy_mev_per_atom": -348, "lattice": [[-0.168, -0.783, 3.637], [-10.874, -8.547, -2.343], [16.386, -12.323, -1.894]], "species": ["Pd", "Pd", "Pd", "Pd", "Pd", "Pd", "Te", "Te", "Te", "Te", "Te", "Te", "Te", "Te", "Te", "Te", "Te", "Te", "Te", "Te", "Te", "Te", "Te", "Te", "Te", "Te", "Te", "Te", "Te", "Te", "Te", "Te", "Te", "Te", "Ta", "Ta", "Ta", "Ta", "Ta", "Ta"], "fractional_positions": [[0.750, 0.516, 0.270], [0.250, 0.132, 0.367], [0.250, 0.484, 0.730], [0.250, 0.750, 0.020], [0.750, 0.868, 0.633], [0.750, 0.250, 0.980], [0.250, 0.660, 0.310], [0.750, 0.608, 0.990], [0.750, 0.340, 0.690], [0.750, 0.209, 0.845], [0.750, 0.110, 0.456], [0.750, 0.055, 0.706], [0.250, 0.108, 0.953], [0.250, 0.853, 0.724], [0.250, 0.319, 0.446], [0.750, 0.147, 0.276], [0.250, 0.376, 0.271], [0.750, 0.892, 0.047], [0.250, 0.945, 0.294], [0.750, 0.272, 0.113], [0.250, 0.392, 0.010], [0.750, 0.624, 0.729], [0.250, 0.062, 0.138], [0.250, 0.457, 0.589], [0.250, 0.434, 0.851], [0.250, 0.728, 0.887], [0.250, 0.791, 0.155], [0.750, 0.818, 0.407], [0.750, 0.543, 0.411], [0.750, 0.566, 0.149], [0.250, 0.182, 0.593], [0.250, 0.890, 0.544], [0.750, 0.938, 0.862], [0.750, 0.681, 0.554], [0.250, 0.424, 0.155], [0.750, 0.576, 0.845], [0.250, 0.052, 0.809], [0.750, 0.303, 0.546], [0.750, 0.948, 0.191], [0.250, 0.697, 0.454]]}

***

Entry 2:
{"formula": "RuPt2", "functional": "PBEsol", "state": "relaxed", "spacegroup": "Immm", "delta_e_f_ev_per_fu": 0.085, "lattice": [[2.725, 0.000, 0.000], [0.000, 3.867, 0.000], [-1.363, -1.934, 4.091]], "species": ["Ru", "Pt", "Pt"], "fractional_positions": [[0.000, 0.000, 0.000], [0.664, 0.664, 0.328], [0.336, 0.336, 0.672]]}

***

Entry 3:
{"formula": "Sr2Li", "functional": "PBEsol", "state": "relaxed", "spacegroup": "P6_3/mmc", "delta_e_f_ev_per_fu": 0.169, "relative_energy_ev_per_atom": 0.035, "lattice": [[-1.534, -4.286, 4.187], [-0.724, -1.169, -6.030], [7.134, -2.849, -0.304]], "species": ["Sr", "Sr", "Sr", "Sr", "Li", "Li"], "fractional_positions": [[0.333, 0.667, 0.750], [0.000, 0.000, 0.000], [0.667, 0.333, 0.250], [0.000, 0.000, 0.500], [0.333, 0.667, 0.250], [0.667, 0.333, 0.750]]}

***

Entry 4:
{"formula": "SrTl2FeAg", "functional": "PBEsol", "state": "relaxed", "spacegroup": "P4/mmm", "delta_e_f_ev_per_fu": 7.650, "lattice": [[-0.012, -0.151, -5.383], [-5.961, -0.237, 0.020], [-0.237, 5.959, -0.167]], "species": ["Tl", "Tl", "Sr", "Ag", "Fe"], "fractional_positions": [[0.000, 0.500, 0.000], [0.000, 0.000, 0.500], [0.000, 0.000, 0.000], [0.500, 0.000, 0.000], [0.500, 0.500, 0.500]]}